Here is a relaxed structure of Tb6Zn5Si from the Alexandria database. Energies are from GGA-PBE.

total magnetic moment	0.00	μB per formula unit
E_form (uncorrected)	-393	meV per atom
raw total energy	-44.294	eV for the cell shown
V	272.85	Å³/f.u.

Cell: 5.0383 7.1264 8.0038 Å, 90.00 108.29 90.00°
With the nearest neighbours (Å) after each atom.
Element x y z (fractional)
Tb (0.0000, 0.2419, 0.0000)  2 Si 3.05, 6 Zn 3.12-3.19
Tb (0.0000, 0.7581, 0.0000)  2 Si 3.05, 6 Zn 3.12-3.19
Tb (0.3369, 0.2480, 0.6734)  7 Zn 3.01-3.13, 1 Si 3.05
Tb (0.3369, 0.7520, 0.6734)  7 Zn 3.01-3.13, 1 Si 3.05
Tb (0.6631, 0.2480, 0.3266)  7 Zn 3.01-3.13, 1 Si 3.05
Tb (0.6631, 0.7520, 0.3266)  7 Zn 3.01-3.13, 1 Si 3.05
Zn (0.1680, 0.5000, 0.3356)  8 Tb 3.09-3.14
Zn (0.1765, 0.0000, 0.3533)  8 Tb 3.01-3.19, 2 Zn 3.36-3.37
Zn (0.5000, 0.5000, 0.0000)  8 Tb 3.06-3.12
Zn (0.8235, 0.0000, 0.6467)  8 Tb 3.01-3.19, 2 Zn 3.36-3.37
Zn (0.8320, 0.5000, 0.6644)  8 Tb 3.09-3.14
Si (0.5000, 0.0000, 0.0000)  8 Tb 3.05

***

Here is a relaxed structure of LiCa2TlNi from the Alexandria database. Energies are from GGA-PBE.

total magnetic moment	0.00	μB per formula unit
energy above the lowest structure with this stoichiometry	0	meV/atom
raw total energy	-14.433	eV for the cell shown
ΔH_f (0 K)	-74	meV per atom
V	145.76	Å³/f.u.

Cell: 5.3824 5.3824 5.0314 Å, 90.00 90.00 90.00°
With the nearest neighbours (Å) after each atom.
Element x y z (fractional)
Li (0.0000, 0.0000, 0.0000)  8 Ca 3.68, 4 Tl 3.81
Ca (0.0000, 0.5000, 0.5000)  2 Ni 2.69
Ca (0.5000, 0.0000, 0.5000)  2 Ni 2.69
Tl (0.5000, 0.5000, 0.0000)  2 Ni 2.52
Ni (0.5000, 0.5000, 0.5000)  2 Tl 2.52, 4 Ca 2.69

***

Here is a relaxed structure of Pr2Ag2Au15 from the Alexandria database. Energies are from GGA-PBE.

total magnetic moment	0.00	μB per formula unit
raw total energy	-69.504	eV for the cell shown
ΔH_f (0 K)	-267	meV per atom
V	384.88	Å³/f.u.

Cell: 7.3490 7.3490 7.3490 Å, 81.46 81.46 81.46°
With the nearest neighbours (Å) after each atom.
Element x y z (fractional)
Pr (0.1564, 0.1564, 0.1564)  15 Au 3.35-3.70, 1 Ag 3.55
Pr (0.8436, 0.8436, 0.8436)  15 Au 3.35-3.70, 1 Ag 3.55
Ag (0.4015, 0.4015, 0.4015)  1 Ag 2.86, 6 Au 2.94-3.10
Ag (0.5985, 0.5985, 0.5985)  1 Ag 2.86, 6 Au 2.94-3.10
Au (0.0000, 0.5000, 0.5000)  8 Au 2.82-2.83, 2 Ag 2.94
Au (0.1445, 0.1445, 0.6568)  8 Au 2.75-3.06
Au (0.1445, 0.6568, 0.1445)  8 Au 2.75-3.06
Au (0.1968, 0.5000, 0.8032)  8 Au 2.83-3.06
Au (0.1968, 0.8032, 0.5000)  8 Au 2.83-3.06
Au (0.3432, 0.8555, 0.8555)  8 Au 2.75-3.06
Au (0.5000, 0.0000, 0.5000)  8 Au 2.82-2.83, 2 Ag 2.94
Au (0.5000, 0.1968, 0.8032)  8 Au 2.83-3.06
Au (0.5000, 0.5000, 0.0000)  8 Au 2.82-2.83, 2 Ag 2.94
Au (0.5000, 0.8032, 0.1968)  8 Au 2.83-3.06
Au (0.6568, 0.1445, 0.1445)  8 Au 2.75-3.06
Au (0.8032, 0.1968, 0.5000)  8 Au 2.83-3.06
Au (0.8032, 0.5000, 0.1968)  8 Au 2.83-3.06
Au (0.8555, 0.3432, 0.8555)  8 Au 2.75-3.06
Au (0.8555, 0.8555, 0.3432)  8 Au 2.75-3.06

***

> The lowest raw total energy belongs to which entry?

Pr2Ag2Au15